Compound: In2RuCl
Source: the Alexandria database
Functional: PBE-GGA
Structure: optimized geometry

## Properties
Energy relative to the elements, uncorrected, eV per atom: 0.008
DFT total energy, eV per atom: -4.141
Offset from the most stable computed form, meV/atom: 299
Size of the total moment, μB/f.u.: 0.7

Geometry as POSCAR:
```
In2RuCl
1.0
-4.893 -4.358 -4.303
4.999 0.948 -0.555
0.585 -2.946 0.217
Cl In Ru
1 2 1
Direct
0.500 0.500 0.000
0.500 0.000 0.500
0.000 0.000 0.000
0.000 0.500 0.500
```